(1)
First-principles (GGA-PBE) data for crystalline Y4TlCd at its relaxed geometry, as listed in Alexandria via LeMat-Bulk.

Cell lengths 6.373, 6.373, 6.373 Å; angles 60.00, 60.00, 60.00 degrees
Atoms (fractional coordinates):
Y  0.875  0.375  0.375
Y  0.375  0.375  0.875
Y  0.375  0.875  0.375
Y  0.375  0.375  0.375
Tl  0.000  0.000  0.000
Cd  0.750  0.750  0.750

Values from the calculation:
Energy of formation from the pure elements, meV/atom: 264
Uncorrected energy, eV/atom: -4.59
Distance to the lowest polymorph of the same formula, meV per atom: 274.5

=====

(2)
First-principles (GGA-PBE) data for crystalline YTl4Cd at its relaxed geometry, as listed in Alexandria via LeMat-Bulk.

Cell lengths 6.314, 6.314, 6.314 Å; angles 60.00, 60.00, 60.00 degrees
Atoms (fractional coordinates):
Y  0.750  0.750  0.750
Tl  0.875  0.375  0.375
Tl  0.375  0.375  0.875
Tl  0.375  0.875  0.375
Tl  0.375  0.375  0.375
Cd  0.000  0.000  0.000

Values from the calculation:
Energy of formation from the pure elements, meV/atom: 130
Uncorrected energy, eV/atom: -2.68

=====

(3)
First-principles (GGA-PBE) data for crystalline Y6TlCd3 at its relaxed geometry, as listed in Alexandria via LeMat-Bulk.

Cell lengths 5.299, 9.406, 11.673 Å; angles 106.85, 90.00, 90.00 degrees
Atoms (fractional coordinates):
Y  0.250  0.464  0.092
Y  0.750  0.536  0.908
Y  0.250  0.130  0.169
Y  0.750  0.870  0.831
Y  0.250  0.650  0.676
Y  0.750  0.350  0.324
Y  0.250  0.251  0.501
Y  0.750  0.749  0.499
Y  0.250  0.835  0.309
Y  0.750  0.165  0.691
Y  0.250  0.109  0.884
Y  0.750  0.891  0.116
Tl  0.250  0.951  0.610
Tl  0.750  0.049  0.390
Cd  0.250  0.526  0.379
Cd  0.750  0.474  0.621
Cd  0.250  0.384  0.785
Cd  0.750  0.616  0.215
Cd  0.250  0.774  0.971
Cd  0.750  0.226  0.029

Values from the calculation:
Energy of formation from the pure elements, meV/atom: -258
Uncorrected energy, eV/atom: -4.65

=====

(4)
First-principles (GGA-PBE) data for crystalline YTl2Cd at its relaxed geometry, as listed in Alexandria via LeMat-Bulk.

Cell lengths 5.310, 5.310, 5.310 Å; angles 60.00, 60.00, 60.00 degrees
Atoms (fractional coordinates):
Y  0.000  0.000  0.000
Tl  0.250  0.250  0.250
Tl  0.750  0.750  0.750
Cd  0.500  0.500  0.500

Values from the calculation:
Energy of formation from the pure elements, meV/atom: -142
Uncorrected energy, eV/atom: -3.17
Distance to the lowest polymorph of the same formula, meV per atom: 115.2